# Cu3Ru

A geometry-optimized Cu3Ru structure (PBE, Alexandria via LeMat-Bulk).

```
data_Cu3Ru
_cell_length_a 3.750
_cell_length_b 3.750
_cell_length_c 7.185
_cell_angle_alpha 90.00
_cell_angle_beta 90.00
_cell_angle_gamma 90.00
_symmetry_space_group_name_H-M 'I 4/m m m'
_symmetry_Int_Tables_number 139
_symmetry_space_group_name_Hall '-I 4 2'
loop_
_atom_site_label
_atom_site_type_symbol
_atom_site_fract_x
_atom_site_fract_y
_atom_site_fract_z
Cu1 Cu 0.000 0.000 0.000
Cu2 Cu 0.000 0.500 0.250
Ru1 Ru 0.000 0.000 0.500
```

Calculated values
**N(E_F)**: 10.15 states/eV per cell
**Calculated formation energy**: 0.28 eV per atom


# BeC

A geometry-optimized BeC structure (PBE, Alexandria via LeMat-Bulk).

```
data_BeC
_cell_length_a 2.4228
_cell_length_b 2.4228
_cell_length_c 2.7961
_cell_angle_alpha 90.00
_cell_angle_beta 90.00
_cell_angle_gamma 120.00
_symmetry_space_group_name_H-M 'P -6 m 2'
_symmetry_Int_Tables_number 187
_symmetry_space_group_name_Hall 'P -6 2'
loop_
_atom_site_label
_atom_site_type_symbol
_atom_site_fract_x
_atom_site_fract_y
_atom_site_fract_z
Be1 Be 0.0000 0.0000 0.0000
C1 C 0.6667 0.3333 0.5000
```

Calculated values
**N(E_F)**: 0.82 states/eV per cell
**Calculated formation energy**: 1.35 eV per atom
**Energy above the lowest structure with this stoichiometry**: 1034.2 meV per atom


# Ca2TlAs2

A geometry-optimized Ca2TlAs2 structure (PBE, Alexandria via LeMat-Bulk).

```
data_Ca2TlAs2
_cell_length_a 8.679
_cell_length_b 8.679
_cell_length_c 3.448
_cell_angle_alpha 90.00
_cell_angle_beta 90.00
_cell_angle_gamma 90.00
_symmetry_space_group_name_H-M 'P 4/m b m'
_symmetry_Int_Tables_number 127
_symmetry_space_group_name_Hall '-P 4 2ab'
loop_
_atom_site_label
_atom_site_type_symbol
_atom_site_fract_x
_atom_site_fract_y
_atom_site_fract_z
Ca1 Ca 0.137 0.363 0.000
Tl1 Tl 0.000 0.000 0.000
As1 As 0.164 0.664 0.500
```

Calculated values
**N(E_F)**: 1.93 states/eV per cell
**Calculated formation energy**: -0.69 eV per atom
**Energy above the lowest structure with this stoichiometry**: 31.1 meV per atom


# NdMg2

A geometry-optimized NdMg2 structure (PBE, Alexandria via LeMat-Bulk).

```
data_NdMg2
_cell_length_a 5.2977
_cell_length_b 5.2977
_cell_length_c 3.3921
_cell_angle_alpha 90.00
_cell_angle_beta 90.00
_cell_angle_gamma 120.00
_symmetry_space_group_name_H-M 'P 6/m m m'
_symmetry_Int_Tables_number 191
_symmetry_space_group_name_Hall '-P 6 2'
loop_
_atom_site_label
_atom_site_type_symbol
_atom_site_fract_x
_atom_site_fract_y
_atom_site_fract_z
Nd1 Nd 0.0000 0.0000 0.0000
Mg1 Mg 0.3333 0.6667 0.5000
```

Calculated values
**N(E_F)**: 2.73 states/eV per cell
**Calculated formation energy**: -0.10 eV per atom


# ScSCl2F

A geometry-optimized ScSCl2F structure (PBE, Alexandria via LeMat-Bulk).

```
data_ScSCl2F
_cell_length_a 5.019
_cell_length_b 5.019
_cell_length_c 3.765
_cell_angle_alpha 90.00
_cell_angle_beta 90.00
_cell_angle_gamma 90.00
_symmetry_space_group_name_H-M 'P 4/m m m'
_symmetry_Int_Tables_number 123
_symmetry_space_group_name_Hall '-P 4 2'
loop_
_atom_site_label
_atom_site_type_symbol
_atom_site_fract_x
_atom_site_fract_y
_atom_site_fract_z
Sc1 Sc 0.000 0.000 0.000
S1 S 0.500 0.500 0.000
Cl1 Cl 0.000 0.500 0.500
F1 F 0.500 0.500 0.500
```

Calculated values
**N(E_F)**: 3.77 states/eV per cell
**Energy above the lowest structure with this stoichiometry**: 586.3 meV per atom
**Formation energy (no corrections)**: -0.456 eV/atom


# InHg2BiRu

A geometry-optimized InHg2BiRu structure (PBE, Alexandria via LeMat-Bulk).

```
data_InHg2BiRu
_cell_length_a 5.265
_cell_length_b 5.265
_cell_length_c 5.113
_cell_angle_alpha 90.00
_cell_angle_beta 90.00
_cell_angle_gamma 90.00
_symmetry_space_group_name_H-M 'P 4/m m m'
_symmetry_Int_Tables_number 123
_symmetry_space_group_name_Hall '-P 4 2'
loop_
_atom_site_label
_atom_site_type_symbol
_atom_site_fract_x
_atom_site_fract_y
_atom_site_fract_z
In1 In 0.000 0.000 0.000
Hg1 Hg 0.000 0.500 0.500
Bi1 Bi 0.500 0.500 0.000
Ru1 Ru 0.000 0.000 0.500
```

Calculated values
**N(E_F)**: 4.82 states/eV per cell
**Calculated formation energy**: 0.54 eV per atom


Ordered M_tot results: 1.9; 0.0; 0.0; 0.0; 0.0; 1.3; unit μB/cell.